[1]
The following is a PBE-GGA calculation of an optimized crystal structure of CaH3Pd, from the Alexandria database.

Cell: 6.5950 6.5950 4.9314 Å, 90.77 90.77 95.78°
Last column: nearest neighbours and their distance in Å.
Element x y z (fractional)
1 Ca 0.0902 0.3512 0.2570  7 H 2.28-2.53
2 Ca 0.3512 0.0902 0.7570  7 H 2.28-2.53
3 Ca 0.6488 0.9098 0.2430  7 H 2.28-2.53
4 Ca 0.9098 0.6488 0.7430  7 H 2.28-2.53
5 H 0.0675 0.3155 0.7629  1 Pd 1.70
6 H 0.2440 0.7150 0.5135  2 Pd 1.80-1.83
7 H 0.2850 0.7560 0.9865  2 Pd 1.80-1.83
8 H 0.3155 0.0675 0.2629  1 Pd 1.70
9 H 0.3796 0.3964 0.0079  2 Pd 1.84-1.85, 1 H 1.99
10 H 0.3964 0.3796 0.5079  2 Pd 1.84-1.85, 1 H 1.99
11 H 0.6036 0.6204 0.4921  2 Pd 1.84-1.85, 1 H 1.99
12 H 0.6204 0.6036 0.9921  2 Pd 1.84-1.85, 1 H 1.99
13 H 0.6845 0.9325 0.7371  1 Pd 1.70
14 H 0.7150 0.2440 0.0135  2 Pd 1.80-1.83
15 H 0.7560 0.2850 0.4865  2 Pd 1.80-1.83
16 H 0.9325 0.6845 0.2371  1 Pd 1.70
17 Pd 0.1348 0.8652 0.2500  4 H 1.70-1.83
18 Pd 0.4035 0.5965 0.7500  6 H 1.80-1.85
19 Pd 0.5965 0.4035 0.2500  6 H 1.80-1.85
20 Pd 0.8652 0.1348 0.7500  4 H 1.70-1.83

Results
Total DFT energy (no corrections), eV/atom: -3.84
N(E_F), states/eV per atom: 0.206
Space-group type: No. 15


[2]
The following is a PBE-GGA calculation of an optimized crystal structure of CaHPd2, from the Alexandria database.

Cell: 7.6950 7.6950 7.6950 Å, 23.44 23.44 23.44°
Last column: nearest neighbours and their distance in Å.
Element x y z (fractional)
1 Ca 0.0000 0.0000 0.0000  2 Pd 2.65
2 H 0.5000 0.5000 0.5000  6 Pd 2.11
3 Pd 0.1182 0.1182 0.1182  3 H 2.11
4 Pd 0.8818 0.8818 0.8818  3 H 2.11

Results
Distance to the lowest polymorph of the same formula, eV/atom: 0.679
Total DFT energy (no corrections), eV/atom: -3.80
N(E_F), states/eV per atom: 0.446
Space-group type: No. 166


[3]
The following is a PBE-GGA calculation of an optimized crystal structure of CaHPd2, from the Alexandria database.

Cell: 5.7078 5.7078 5.7078 Å, 119.96 119.96 90.07°
Last column: nearest neighbours and their distance in Å.
Element x y z (fractional)
1 Ca 0.3750 0.6250 0.7500  12 Pd 3.35, 4 H 3.50, 4 Ca 3.50
2 Ca 0.6250 0.3750 0.2500  12 Pd 3.35, 4 H 3.50, 4 Ca 3.50
3 H 0.1250 0.8750 0.2500  4 Pd 1.75
4 H 0.8750 0.1250 0.7500  4 Pd 1.75
5 Pd 0.0000 0.0000 0.0000  2 H 1.75
6 Pd 0.0000 0.0000 0.5000  2 H 1.75
7 Pd 0.0000 0.5000 0.0000  2 H 1.75
8 Pd 0.5000 0.0000 0.5000  2 H 1.75

Results
Distance to the lowest polymorph of the same formula, eV/atom: 0.000
Total DFT energy (no corrections), eV/atom: -4.48
N(E_F), states/eV per atom: 0.136
Space-group type: No. 141


[4]
The following is a PBE-GGA calculation of an optimized crystal structure of CaH3Pd, from the Alexandria database.

Cell: 5.1710 7.2479 6.0652 Å, 90.00 90.00 90.00°
Last column: nearest neighbours and their distance in Å.
Element x y z (fractional)
1 Ca 0.0000 0.0000 0.0000  6 H 2.32-2.48
2 Ca 0.0000 0.5000 0.0000  6 H 2.32-2.48
3 Ca 0.5000 0.0000 0.5000  6 H 2.32-2.48
4 Ca 0.5000 0.5000 0.5000  6 H 2.32-2.48
5 H 0.0596 0.0794 0.3677  1 Pd 1.67
6 H 0.0596 0.4206 0.3677  1 Pd 1.67
7 H 0.2061 0.2500 0.7965  2 Pd 1.82-1.83
8 H 0.2939 0.7500 0.2965  2 Pd 1.82-1.83
9 H 0.4404 0.5794 0.8677  1 Pd 1.67
10 H 0.4404 0.9206 0.8677  1 Pd 1.67
11 H 0.5596 0.0794 0.1323  1 Pd 1.67
12 H 0.5596 0.4206 0.1323  1 Pd 1.67
13 H 0.7061 0.2500 0.7035  2 Pd 1.82-1.83
14 H 0.7939 0.7500 0.2035  2 Pd 1.82-1.83
15 H 0.9404 0.5794 0.6323  1 Pd 1.67
16 H 0.9404 0.9206 0.6323  1 Pd 1.67
17 Pd 0.0073 0.2500 0.5475  4 H 1.67-1.83
18 Pd 0.4927 0.7500 0.0475  4 H 1.67-1.83
19 Pd 0.5073 0.2500 0.9525  4 H 1.67-1.83
20 Pd 0.9927 0.7500 0.4525  4 H 1.67-1.83

Results
Total DFT energy (no corrections), eV/atom: -3.77
N(E_F), states/eV per atom: 0.013
Space-group type: No. 62


[5]
The following is a PBE-GGA calculation of an optimized crystal structure of Ca2H3Pd, from the Alexandria database.

Cell: 6.8086 6.8086 7.4574 Å, 105.91 105.91 31.01°
Last column: nearest neighbours and their distance in Å.
Element x y z (fractional)
1 Ca 0.1459 0.1458 0.0729  4 H 2.26
2 Ca 0.1458 0.1459 0.5729  4 H 2.26
3 Ca 0.8542 0.8541 0.4271  4 H 2.26
4 Ca 0.8541 0.8542 0.9271  4 H 2.26
5 H 0.0007 0.9993 0.7500  2 Pd 1.82
6 H 0.2480 0.2480 0.3740  4 Ca 2.26
7 H 0.2480 0.2480 0.8740  4 Ca 2.26
8 H 0.7520 0.7520 0.1260  4 Ca 2.26
9 H 0.7520 0.7520 0.6260  4 Ca 2.26
10 H 0.9993 0.0007 0.2500  2 Pd 1.82
11 Pd 0.4993 0.5007 0.2500  2 H 1.82
12 Pd 0.5007 0.4993 0.7500  2 H 1.82

Results
Total DFT energy (no corrections), eV/atom: -3.77
N(E_F), states/eV per atom: 0.070
Space-group type: No. 15


[6]
The following is a PBE-GGA calculation of an optimized crystal structure of CaHPd3, from the Alexandria database.

Cell: 4.8600 5.9873 5.2020 Å, 90.00 91.11 90.00°
Last column: nearest neighbours and their distance in Å.
Element x y z (fractional)
1 Ca 0.2394 0.2500 0.1642  1 H 2.40
2 Ca 0.7606 0.7500 0.8358  1 H 2.40
3 H 0.0830 0.2500 0.7228  3 Pd 1.78
4 H 0.9170 0.7500 0.2772  3 Pd 1.78
5 Pd 0.2542 0.5056 0.6590  1 H 1.78
6 Pd 0.2542 0.9944 0.6590  1 H 1.78
7 Pd 0.2733 0.7500 0.2011  1 H 1.78
8 Pd 0.7267 0.2500 0.7989  1 H 1.78
9 Pd 0.7458 0.0056 0.3410  1 H 1.78
10 Pd 0.7458 0.4944 0.3410  1 H 1.78

Results
Distance to the lowest polymorph of the same formula, eV/atom: 0.080
Total DFT energy (no corrections), eV/atom: -4.64
N(E_F), states/eV per atom: 0.317
Space-group type: No. 11


[7]
The following is a PBE-GGA calculation of an optimized crystal structure of CaH3Pd, from the Alexandria database.

Cell: 3.7703 3.7703 4.2658 Å, 90.00 90.00 90.00°
Last column: nearest neighbours and their distance in Å.
Element x y z (fractional)
1 Ca 0.0000 0.0000 0.0000  6 H 2.06-2.28
2 H 0.0000 0.0000 0.5162  2 Ca 2.06-2.20, 4 H 2.10
3 H 0.0000 0.5000 0.2995  2 Pd 1.89, 2 H 2.10
4 H 0.5000 0.0000 0.2995  2 Pd 1.89, 2 H 2.10
5 Pd 0.5000 0.5000 0.3381  4 H 1.89

Results
Total DFT energy (no corrections), eV/atom: -3.49
N(E_F), states/eV per atom: 0.383
Space-group type: No. 99


[8]
The following is a PBE-GGA calculation of an optimized crystal structure of CaHPd, from the Alexandria database.

Cell: 6.1167 6.1167 4.6005 Å, 92.58 92.58 36.25°
Last column: nearest neighbours and their distance in Å.
Element x y z (fractional)
1 Ca 0.1346 0.1346 0.2641  3 H 2.29-2.32
2 Ca 0.8654 0.8654 0.7359  3 H 2.29-2.32
3 H 0.3190 0.3190 0.4654  1 Pd 1.71
4 H 0.6810 0.6810 0.5346  1 Pd 1.71
5 Pd 0.4245 0.4245 0.2191  1 H 1.71
6 Pd 0.5755 0.5755 0.7809  1 H 1.71

Results
Distance to the lowest polymorph of the same formula, eV/atom: 0.013
Total DFT energy (no corrections), eV/atom: -4.10
N(E_F), states/eV per atom: 0.172
Space-group type: No. 12


[9]
The following is a PBE-GGA calculation of an optimized crystal structure of CaH3Pd, from the Alexandria database.

Cell: 3.7342 5.0909 6.1656 Å, 90.00 107.57 90.00°
Last column: nearest neighbours and their distance in Å.
Element x y z (fractional)
1 Ca 0.1322 0.0000 0.2654  7 H 2.37-2.59
2 Ca 0.8678 0.5000 0.7346  7 H 2.37-2.59
3 H 0.0989 0.4980 0.1986  2 Pd 1.87
4 H 0.3027 0.7456 0.6040  1 Pd 1.72
5 H 0.4616 0.2970 0.9228  2 Pd 1.72-1.85
6 H 0.5384 0.7970 0.0772  2 Pd 1.72-1.85
7 H 0.6973 0.2456 0.3960  1 Pd 1.72
8 H 0.9011 0.9980 0.8014  2 Pd 1.87
9 Pd 0.4044 0.9870 0.8083  5 H 1.72-1.87
10 Pd 0.5956 0.4870 0.1917  5 H 1.72-1.87

Results
Total DFT energy (no corrections), eV/atom: -3.93
N(E_F), states/eV per atom: 0.103
Space-group type: No. 4


[10]
The following is a PBE-GGA calculation of an optimized crystal structure of Ca2HPd6, from the Alexandria database.

Cell: 5.8490 5.8490 5.8490 Å, 119.54 119.54 90.80°
Last column: nearest neighbours and their distance in Å.
Element x y z (fractional)
1 Ca 0.2500 0.7500 0.5000  12 Pd 2.92-2.94
2 Ca 0.7500 0.2500 0.5000  12 Pd 2.92-2.94
3 H 0.0000 0.0000 0.0000  6 Pd 2.06-2.10
4 Pd 0.2512 0.2512 0.0000  1 H 2.06
5 Pd 0.2516 0.2516 0.5031  1 H 2.10
6 Pd 0.2516 0.7484 0.0000  1 H 2.10
7 Pd 0.7484 0.2516 0.0000  1 H 2.10
8 Pd 0.7484 0.7484 0.4969  1 H 2.10
9 Pd 0.7488 0.7488 0.0000  1 H 2.06

Results
Total DFT energy (no corrections), eV/atom: -4.79
N(E_F), states/eV per atom: 0.647
Space-group type: No. 139


[11]
The following is a PBE-GGA calculation of an optimized crystal structure of CaHPd3, from the Alexandria database.

Cell: 6.6269 6.6269 5.8466 Å, 94.27 94.27 40.02°
Last column: nearest neighbours and their distance in Å.
Element x y z (fractional)
1 Ca 0.1444 0.1444 0.3774  6 Pd 2.75-3.00, 1 H 2.75
2 Ca 0.8556 0.8556 0.6226  6 Pd 2.75-3.00, 1 H 2.75
3 H 0.3124 0.3124 0.0992  3 Pd 1.84-1.90
4 H 0.6876 0.6876 0.9008  3 Pd 1.84-1.90
5 Pd 0.1877 0.1877 0.8888  1 H 1.90
6 Pd 0.4075 0.4075 0.8728  1 H 1.84
7 Pd 0.4103 0.4103 0.3517  1 H 1.84
8 Pd 0.5897 0.5897 0.6483  1 H 1.84
9 Pd 0.5925 0.5925 0.1272  1 H 1.84
10 Pd 0.8123 0.8123 0.1112  1 H 1.90

Results
Distance to the lowest polymorph of the same formula, eV/atom: 0.226
Total DFT energy (no corrections), eV/atom: -4.49
N(E_F), states/eV per atom: 0.342
Space-group type: No. 12


[12]
The following is a PBE-GGA calculation of an optimized crystal structure of CaHPd3, from the Alexandria database.

Cell: 5.9351 4.1293 5.9354 Å, 90.00 90.00 90.00°
Last column: nearest neighbours and their distance in Å.
Element x y z (fractional)
1 Ca 0.0000 0.9998 0.0000  12 Pd 2.94-2.97, 1 H 3.20
2 Ca 0.5000 0.0002 0.5000  12 Pd 2.94-2.97, 1 H 3.20
3 H 0.0000 0.4539 0.5640  3 Pd 1.88-1.91
4 H 0.5000 0.5461 0.0640  3 Pd 1.88-1.91
5 Pd 0.0000 0.0013 0.4991  1 H 1.91
6 Pd 0.2476 0.4995 0.2515  1 H 1.88
7 Pd 0.2524 0.5005 0.7515  1 H 1.88
8 Pd 0.5000 0.9987 0.9991  1 H 1.91
9 Pd 0.7476 0.5005 0.7515  1 H 1.88
10 Pd 0.7524 0.4995 0.2515  1 H 1.88

Results
Distance to the lowest polymorph of the same formula, eV/atom: 0.022
Total DFT energy (no corrections), eV/atom: -4.69
N(E_F), states/eV per atom: 0.272
Space-group type: No. 31


Question: The highest total DFT energy (no corrections) belongs to which entry?
Answer: number 7